1.
## HPdF (PBE)

Data for a geometry-optimized HPdF structure.

Structure (CIF):
```
data_HPdF
_cell_length_a 4.564
_cell_length_b 3.103
_cell_length_c 5.483
_cell_angle_alpha 90.00
_cell_angle_beta 70.92
_cell_angle_gamma 90.00
_symmetry_space_group_name_H-M 'P 1'
_symmetry_Int_Tables_number 1
_symmetry_space_group_name_Hall 'P 1'
loop_
_atom_site_label
_atom_site_fract_x
_atom_site_fract_y
_atom_site_fract_z
H1 0.942 0.943 0.028
H2 0.587 0.445 0.308
Pd1 0.816 0.947 0.347
Pd2 0.713 0.447 0.988
F1 0.009 0.447 0.524
F2 0.520 0.947 0.811
```

Results
**E**: -0.296 Ry per atom
**SG**: P1, No. 1

2.
## AsPd4Au (PBE)

Data for a geometry-optimized AsPd4Au structure.

Structure (CIF):
```
data_AsPd4Au
_cell_length_a 5.245
_cell_length_b 5.534
_cell_length_c 7.561
_cell_angle_alpha 99.18
_cell_angle_beta 110.29
_cell_angle_gamma 90.00
_symmetry_space_group_name_H-M 'P 1'
_symmetry_Int_Tables_number 1
_symmetry_space_group_name_Hall 'P 1'
loop_
_atom_site_label
_atom_site_fract_x
_atom_site_fract_y
_atom_site_fract_z
As1 0.500 0.000 0.500
As2 0.000 0.500 0.500
Pd1 0.512 0.070 0.832
Pd2 0.680 0.430 0.168
Pd3 0.488 0.930 0.168
Pd4 0.320 0.570 0.832
Pd5 0.962 0.915 0.660
Pd6 0.302 0.585 0.340
Pd7 0.038 0.085 0.340
Pd8 0.698 0.415 0.660
Au1 0.902 0.750 0.000
Au2 0.098 0.250 0.000
```

Results
**ΔE_f**: -149 meV/atom
**SG**: C2/c, No. 15

3.
## MnHIr2 (PBE)

Data for a geometry-optimized MnHIr2 structure.

Structure (CIF):
```
data_MnHIr2
_cell_length_a 6.044
_cell_length_b 6.044
_cell_length_c 4.966
_cell_angle_alpha 52.52
_cell_angle_beta 52.52
_cell_angle_gamma 90.00
_symmetry_space_group_name_H-M 'P 1'
_symmetry_Int_Tables_number 1
_symmetry_space_group_name_Hall 'P 1'
loop_
_atom_site_label
_atom_site_fract_x
_atom_site_fract_y
_atom_site_fract_z
H1 0.500 0.500 0.000
H2 0.250 0.750 0.500
Ir1 0.534 0.125 0.250
Ir2 0.216 0.625 0.250
Ir3 0.375 0.466 0.750
Ir4 0.875 0.784 0.750
Mn1 0.000 0.000 0.000
Mn2 0.750 0.250 0.500
```

Results
**E**: -0.544 Ry per atom
**SG**: I-42d, No. 122

4.
## ErZnAu2 (PBE)

Data for a geometry-optimized ErZnAu2 structure.

Structure (CIF):
```
data_ErZnAu2
_cell_length_a 3.490
_cell_length_b 3.490
_cell_length_c 6.470
_cell_angle_alpha 90.00
_cell_angle_beta 90.00
_cell_angle_gamma 90.00
_symmetry_space_group_name_H-M 'P 1'
_symmetry_Int_Tables_number 1
_symmetry_space_group_name_Hall 'P 1'
loop_
_atom_site_label
_atom_site_fract_x
_atom_site_fract_y
_atom_site_fract_z
Zn1 0.500 0.500 0.000
Au1 0.000 0.000 0.768
Au2 0.000 0.000 0.232
Er1 0.500 0.500 0.500
```

Results
**ΔE_f**: -577 meV/atom
**SG**: P4/mmm, No. 123

5.
## ZrMnBr3 (PBE)

Data for a geometry-optimized ZrMnBr3 structure.

Structure (CIF):
```
data_ZrMnBr3
_cell_length_a 5.378
_cell_length_b 5.378
_cell_length_c 5.378
_cell_angle_alpha 90.00
_cell_angle_beta 90.00
_cell_angle_gamma 90.00
_symmetry_space_group_name_H-M 'P 1'
_symmetry_Int_Tables_number 1
_symmetry_space_group_name_Hall 'P 1'
loop_
_atom_site_label
_atom_site_fract_x
_atom_site_fract_y
_atom_site_fract_z
Mn1 0.500 0.500 0.500
Br1 0.000 0.500 0.000
Br2 0.000 0.000 0.500
Br3 0.500 0.000 0.000
Zr1 0.000 0.000 0.000
```

Results
**E**: -0.349 Ry per atom
**SG**: Pm-3m, No. 221

6.
## HgRhO (PBE)

Data for a geometry-optimized HgRhO structure.

Structure (CIF):
```
data_HgRhO
_cell_length_a 3.013
_cell_length_b 3.013
_cell_length_c 6.194
_cell_angle_alpha 90.00
_cell_angle_beta 90.00
_cell_angle_gamma 120.00
_symmetry_space_group_name_H-M 'P 1'
_symmetry_Int_Tables_number 1
_symmetry_space_group_name_Hall 'P 1'
loop_
_atom_site_label
_atom_site_fract_x
_atom_site_fract_y
_atom_site_fract_z
Rh1 0.667 0.333 0.410
Hg1 0.000 0.000 0.014
O1 0.333 0.667 0.576
```

Results
**E**: -0.317 Ry per atom
**SG**: P3m1, No. 156

7.
## ReAs2Rh (PBE)

Data for a geometry-optimized ReAs2Rh structure.

Structure (CIF):
```
data_ReAs2Rh
_cell_length_a 4.535
_cell_length_b 4.535
_cell_length_c 4.837
_cell_angle_alpha 77.09
_cell_angle_beta 77.09
_cell_angle_gamma 42.22
_symmetry_space_group_name_H-M 'P 1'
_symmetry_Int_Tables_number 1
_symmetry_space_group_name_Hall 'P 1'
loop_
_atom_site_label
_atom_site_fract_x
_atom_site_fract_y
_atom_site_fract_z
Re1 0.520 0.520 0.370
As1 0.004 0.004 0.967
As2 0.233 0.233 0.380
Rh1 0.743 0.743 0.783
```

Results
**ΔE_f**: 1 meV/atom
**SG**: Cm, No. 8

8.
## Mg2ZnOs (PBE)

Data for a geometry-optimized Mg2ZnOs structure.

Structure (CIF):
```
data_Mg2ZnOs
_cell_length_a 6.251
_cell_length_b 4.962
_cell_length_c 2.816
_cell_angle_alpha 90.13
_cell_angle_beta 62.99
_cell_angle_gamma 120.07
_symmetry_space_group_name_H-M 'P 1'
_symmetry_Int_Tables_number 1
_symmetry_space_group_name_Hall 'P 1'
loop_
_atom_site_label
_atom_site_fract_x
_atom_site_fract_y
_atom_site_fract_z
Mg1 0.000 0.000 0.000
Mg2 0.500 0.000 0.500
Os1 0.000 0.500 0.500
Zn1 0.500 0.500 0.000
```

Results
**ΔE_f**: 119 meV/atom
**SG**: C2/m, No. 12